First-principles (PBE) data for crystalline Ir2RuO at its relaxed geometry, as listed in Alexandria via LeMat-Bulk.

Output
As for the crystal system: tetragonal. The raw total energy is -7.41 eV per atom.

abc: 6.4671 6.4671 5.2392
angles: 51.89 51.89 90.00
With the nearest neighbours (Å) after each atom.
Fractional coordinates of all 8 atoms:
Ru  0.0000  0.0000  0.0000  2 O 2.56, 8 Ir 2.61-2.82
Ru  0.7500  0.2500  0.5000  2 O 2.56, 8 Ir 2.61-2.82
Ir  0.5740  0.1250  0.2500  2 O 2.16
Ir  0.1761  0.6250  0.2500  2 O 2.16
Ir  0.3750  0.4260  0.7500  2 O 2.16
Ir  0.8750  0.8240  0.7500  2 O 2.16
O  0.5000  0.5000  0.0000  4 Ir 2.16
O  0.2500  0.7500  0.5000  4 Ir 2.16

***

First-principles (PBE) data for crystalline Ir2Ru2O5 at its relaxed geometry, as listed in Alexandria via LeMat-Bulk.

Output
As for the crystal system: tetragonal. The raw total energy is -6.45 eV per atom.

abc: 3.3207 3.3207 8.9617
angles: 90.00 90.00 90.00
With the nearest neighbours (Å) after each atom.
Fractional coordinates of all 9 atoms:
Ir  0.0000  0.0000  0.1646  4 O 2.00
Ir  0.0000  0.0000  0.8354  4 O 2.00
Ru  0.5000  0.5000  0.0000  8 Ir 2.77, 8 O 3.08
Ru  0.5000  0.5000  0.5000  12 O 2.35-2.52
O  0.0000  0.5000  0.2888  2 Ir 2.00
O  0.0000  0.5000  0.7112  2 Ir 2.00
O  0.0000  0.0000  0.5000  4 Ru 2.35, 8 O 2.52
O  0.5000  0.0000  0.2888  2 Ir 2.00
O  0.5000  0.0000  0.7112  2 Ir 2.00

***

First-principles (PBE) data for crystalline IrRuO2 at its relaxed geometry, as listed in Alexandria via LeMat-Bulk.

Output
As for the crystal system: cubic. The raw total energy is -6.27 eV per atom.

abc: 3.9378 3.9378 3.9378
angles: 60.00 60.00 60.00
With the nearest neighbours (Å) after each atom.
Fractional coordinates of all 4 atoms:
Ru  0.0000  0.0000  0.0000  8 O 2.41
Ir  0.5000  0.5000  0.5000  8 O 2.41
O  0.2500  0.2500  0.2500  4 Ir 2.41, 4 Ru 2.41
O  0.7500  0.7500  0.7500  4 Ru 2.41, 4 Ir 2.41

***

First-principles (PBE) data for crystalline IrRuO2 at its relaxed geometry, as listed in Alexandria via LeMat-Bulk.

Output
As for the crystal system: trigonal. The raw total energy is -7.44 eV per atom.

abc: 6.7929 6.7929 6.7929
angles: 23.64 23.64 23.64
With the nearest neighbours (Å) after each atom.
Fractional coordinates of all 4 atoms:
Ru  0.5000  0.5000  0.5000  6 O 2.08
Ir  0.0000  0.0000  0.0000  2 O 1.98
O  0.8998  0.8998  0.8998  1 Ir 1.98, 3 Ru 2.08
O  0.1002  0.1002  0.1002  1 Ir 1.98, 3 Ru 2.08

***

First-principles (PBE) data for crystalline Ir2RuO8 at its relaxed geometry, as listed in Alexandria via LeMat-Bulk.

Output
As for the crystal system: trigonal. The raw total energy is -6.52 eV per atom.

abc: 7.7060 5.1020 5.1020
angles: 120.00 90.00 90.00
With the nearest neighbours (Å) after each atom.
Fractional coordinates of all 11 atoms:
Ir  0.2548  0.3333  0.6667  4 O 1.74-1.86
Ir  0.7452  0.6667  0.3333  4 O 1.74-1.86
Ru  0.0000  0.0000  0.0000  6 O 1.97
O  0.5196  0.6667  0.3333  1 Ir 1.74
O  0.4804  0.3333  0.6667  1 Ir 1.74
O  0.8544  0.6952  0.0231  1 Ir 1.86, 1 Ru 1.97
O  0.1456  0.0231  0.3279  1 Ir 1.86, 1 Ru 1.97
O  0.1456  0.6721  0.6952  1 Ir 1.86, 1 Ru 1.97
O  0.1456  0.3048  0.9769  1 Ir 1.86, 1 Ru 1.97
O  0.8544  0.9769  0.6721  1 Ir 1.86, 1 Ru 1.97
O  0.8544  0.3279  0.3048  1 Ir 1.86, 1 Ru 1.97

***

First-principles (PBE) data for crystalline Ir3RuO at its relaxed geometry, as listed in Alexandria via LeMat-Bulk.

Output
As for the crystal system: cubic. The raw total energy is -7.22 eV per atom.

abc: 4.1087 4.1087 4.1087
angles: 90.00 90.00 90.00
With the nearest neighbours (Å) after each atom.
Fractional coordinates of all 5 atoms:
Ru  0.5000  0.5000  0.5000  12 Ir 2.91
Ir  0.0000  0.5000  0.0000  2 O 2.05
Ir  0.0000  0.0000  0.5000  2 O 2.05
Ir  0.5000  0.0000  0.0000  2 O 2.05
O  0.0000  0.0000  0.0000  6 Ir 2.05

***

First-principles (PBE) data for crystalline Sb2IrRuO at its relaxed geometry, as listed in Alexandria via LeMat-Bulk.

Output
As for the crystal system: tetragonal. The raw total energy is -6.07 eV per atom.

abc: 5.2302 3.5720 5.2302
angles: 90.00 90.00 90.00
With the nearest neighbours (Å) after each atom.
Fractional coordinates of all 5 atoms:
Sb  0.0000  0.0000  0.5000  2 Ru 2.62
Sb  0.5000  0.0000  0.0000  2 Ru 2.62
Ir  0.5000  0.5000  0.5000  8 Sb 3.17
O  0.0000  0.5000  0.0000  2 Ru 1.79
Ru  0.0000  0.0000  0.0000  2 O 1.79

***

First-principles (PBE) data for crystalline ScIrRuO6 at its relaxed geometry, as listed in Alexandria via LeMat-Bulk.

Output
As for the crystal system: trigonal. The raw total energy is -7.51 eV per atom.

abc: 5.1041 5.1041 8.7832
angles: 90.00 90.00 120.00
With the nearest neighbours (Å) after each atom.
Fractional coordinates of all 18 atoms:
Sc  0.3333  0.6667  0.2500  6 O 2.09
Sc  0.6667  0.3333  0.7500  6 O 2.09
Ir  0.6667  0.3333  0.2500  6 O 2.02
Ir  0.3333  0.6667  0.7500  6 O 2.02
Ru  0.0000  0.0000  0.0000  6 O 1.98
Ru  0.0000  0.0000  0.5000  6 O 1.98
O  0.6790  0.6675  0.1224  1 Ru 1.98, 1 Ir 2.02, 1 Sc 2.09
O  0.9885  0.3210  0.1224  1 Ru 1.98, 1 Ir 2.02, 1 Sc 2.09
O  0.3210  0.9885  0.6224  1 Ru 1.98, 1 Ir 2.02, 1 Sc 2.09
O  0.0115  0.6790  0.8776  1 Ru 1.98, 1 Ir 2.02, 1 Sc 2.09
O  0.3325  0.3210  0.3776  1 Ru 1.98, 1 Ir 2.02, 1 Sc 2.09
O  0.9885  0.6675  0.3776  1 Ru 1.98, 1 Ir 2.02, 1 Sc 2.09
O  0.6675  0.9885  0.8776  1 Ru 1.98, 1 Ir 2.02, 1 Sc 2.09
O  0.6790  0.0115  0.3776  1 Ru 1.98, 1 Ir 2.02, 1 Sc 2.09
O  0.0115  0.3325  0.6224  1 Ru 1.98, 1 Ir 2.02, 1 Sc 2.09
O  0.3325  0.0115  0.1224  1 Ru 1.98, 1 Ir 2.02, 1 Sc 2.09
O  0.6675  0.6790  0.6224  1 Ru 1.98, 1 Ir 2.02, 1 Sc 2.09
O  0.3210  0.3325  0.8776  1 Ru 1.98, 1 Ir 2.02, 1 Sc 2.09

***

First-principles (PBE) data for crystalline SrIrRu2O8 at its relaxed geometry, as listed in Alexandria via LeMat-Bulk.

Output
As for the crystal system: monoclinic. The raw total energy is -6.85 eV per atom.

abc: 4.8002 4.7928 6.4192
angles: 90.00 90.00 87.56
With the nearest neighbours (Å) after each atom.
Fractional coordinates of all 12 atoms:
Sr  0.0000  0.0000  0.5000  6 O 2.34
Ir  0.0000  0.0000  0.0000  6 O 1.96-2.06
Ru  0.5000  0.5000  0.7568  6 O 1.91-2.10
Ru  0.5000  0.5000  0.2432  6 O 1.91-2.10
O  0.2132  0.7850  0.2104  1 Ru 1.91, 1 Ir 1.96
O  0.7010  0.7032  0.0000  1 Ir 2.06, 2 Ru 2.10
O  0.7869  0.2151  0.2103  1 Ru 1.91, 1 Ir 1.96
O  0.7868  0.2150  0.7896  1 Ru 1.91, 1 Ir 1.96
O  0.2990  0.2968  0.0000  1 Ir 2.06, 2 Ru 2.10
O  0.2131  0.7849  0.7897  1 Ru 1.91, 1 Ir 1.96
O  0.6607  0.6633  0.5000  2 Ru 1.99
O  0.3393  0.3367  0.5000  2 Ru 1.99

***

First-principles (PBE) data for crystalline Sr6Ir2RuO12 at its relaxed geometry, as listed in Alexandria via LeMat-Bulk.

Output
As for the crystal system: monoclinic. The raw total energy is -6.58 eV per atom.

abc: 8.8200 8.8200 6.9776
angles: 67.71 67.71 36.85
With the nearest neighbours (Å) after each atom.
Fractional coordinates of all 21 atoms:
Sr  0.8815  0.8815  0.7076  5 O 2.44-2.73
Sr  0.2160  0.2160  0.7075  5 O 2.44-2.73
Sr  0.5491  0.5491  0.7056  1 O 2.43
Sr  0.4509  0.4509  0.2944  1 O 2.43
Sr  0.7840  0.7840  0.2925  5 O 2.44-2.73
Sr  0.1185  0.1185  0.2924  5 O 2.44-2.73
Ir  0.6656  0.6656  0.9998  6 O 1.97-2.09
Ir  0.3344  0.3344  0.0002  6 O 1.97-2.09
Ru  0.0000  0.0000  0.0000  6 O 1.96-2.08
O  0.9457  0.9457  0.3253  1 Ru 2.08
O  0.2794  0.2794  0.3265  1 Ir 2.09
O  0.6119  0.6119  0.3259  1 Ir 2.09
O  0.3881  0.3881  0.6741  1 Ir 2.09
O  0.7206  0.7206  0.6735  1 Ir 2.09
O  0.0543  0.0543  0.6747  1 Ru 2.08
O  0.5000  0.0000  0.0000  2 Ir 1.98
O  0.8339  0.3312  0.0000  1 Ru 1.96, 1 Ir 1.97
O  0.1661  0.6688  0.0000  1 Ru 1.96, 1 Ir 1.97
O  0.0000  0.5000  0.0000  2 Ir 1.98
O  0.3312  0.8339  0.0000  1 Ru 1.96, 1 Ir 1.97
O  0.6688  0.1661  0.0000  1 Ru 1.96, 1 Ir 1.97

***

First-principles (PBE) data for crystalline TbIrRuO6 at its relaxed geometry, as listed in Alexandria via LeMat-Bulk.

Output
As for the crystal system: trigonal. The raw total energy is -7.26 eV per atom.

abc: 5.2874 5.2874 8.7873
angles: 90.00 90.00 120.00
With the nearest neighbours (Å) after each atom.
Fractional coordinates of all 18 atoms:
Tb  0.3333  0.6667  0.2500  6 O 2.25
Tb  0.6667  0.3333  0.7500  6 O 2.25
Ir  0.6667  0.3333  0.2500  6 O 2.03
Ir  0.3333  0.6667  0.7500  6 O 2.03
Ru  0.0000  0.0000  0.0000  6 O 2.00
Ru  0.0000  0.0000  0.5000  6 O 2.00
O  0.6953  0.6620  0.1188  1 Ru 2.00, 1 Ir 2.03
O  0.9667  0.3047  0.1188  1 Ru 2.00, 1 Ir 2.03
O  0.3047  0.9667  0.6188  1 Ru 2.00, 1 Ir 2.03
O  0.0333  0.6953  0.8812  1 Ru 2.00, 1 Ir 2.03
O  0.3380  0.3047  0.3812  1 Ru 2.00, 1 Ir 2.03
O  0.9667  0.6620  0.3812  1 Ru 2.00, 1 Ir 2.03
O  0.6620  0.9667  0.8812  1 Ru 2.00, 1 Ir 2.03
O  0.6953  0.0333  0.3812  1 Ru 2.00, 1 Ir 2.03
O  0.0333  0.3380  0.6188  1 Ru 2.00, 1 Ir 2.03
O  0.3380  0.0333  0.1188  1 Ru 2.00, 1 Ir 2.03
O  0.6620  0.6953  0.6188  1 Ru 2.00, 1 Ir 2.03
O  0.3047  0.3380  0.8812  1 Ru 2.00, 1 Ir 2.03

***

First-principles (PBE) data for crystalline TiIrRuO6 at its relaxed geometry, as listed in Alexandria via LeMat-Bulk.

Output
As for the crystal system: trigonal. The raw total energy is -7.69 eV per atom.

abc: 4.9759 4.9759 8.9203
angles: 90.00 90.00 120.00
With the nearest neighbours (Å) after each atom.
Fractional coordinates of all 18 atoms:
Ti  0.3333  0.6667  0.2500  6 O 1.98
Ti  0.6667  0.3333  0.7500  6 O 1.98
Ir  0.6667  0.3333  0.2500  6 O 2.03
Ir  0.3333  0.6667  0.7500  6 O 2.03
Ru  0.0000  0.0000  0.0000  6 O 1.99
Ru  0.0000  0.0000  0.5000  6 O 1.99
O  0.6662  0.6747  0.1255  1 Ti 1.98, 1 Ru 1.99, 1 Ir 2.03
O  0.0084  0.3338  0.1255  1 Ti 1.98, 1 Ru 1.99, 1 Ir 2.03
O  0.3338  0.0084  0.6255  1 Ti 1.98, 1 Ru 1.99, 1 Ir 2.03
O  0.9916  0.6662  0.8745  1 Ti 1.98, 1 Ru 1.99, 1 Ir 2.03
O  0.3253  0.3338  0.3745  1 Ti 1.98, 1 Ru 1.99, 1 Ir 2.03
O  0.0084  0.6747  0.3745  1 Ti 1.98, 1 Ru 1.99, 1 Ir 2.03
O  0.6747  0.0084  0.8745  1 Ti 1.98, 1 Ru 1.99, 1 Ir 2.03
O  0.6662  0.9916  0.3745  1 Ti 1.98, 1 Ru 1.99, 1 Ir 2.03
O  0.9916  0.3253  0.6255  1 Ti 1.98, 1 Ru 1.99, 1 Ir 2.03
O  0.3253  0.9916  0.1255  1 Ti 1.98, 1 Ru 1.99, 1 Ir 2.03
O  0.6747  0.6662  0.6255  1 Ti 1.98, 1 Ru 1.99, 1 Ir 2.03
O  0.3338  0.3253  0.8745  1 Ti 1.98, 1 Ru 1.99, 1 Ir 2.03

***

> Look up the raw total energy of the eleventh one.

-7.26 eV per atom